(1)
# PBE NaLiCa2N, optimized geometry
data_NaLiCa2N
_symmetry_space_group_name_H-M 'P 4/m m m'
_symmetry_Int_Tables_number 123
_symmetry_space_group_name_Hall '-P 4 2'
_cell_length_a 4.951
_cell_length_b 4.951
_cell_length_c 4.704
_cell_angle_alpha 90.00
_cell_angle_beta 90.00
_cell_angle_gamma 90.00
loop_
_atom_site_label
_atom_site_fract_x
_atom_site_fract_y
_atom_site_fract_z
Na1 0.000 0.000 0.000
Li1 0.500 0.500 0.000
Ca1 0.000 0.500 0.500
N1 0.500 0.500 0.500
# Formation energy (no corrections) in eV per atom: -0.223

(2)
# PBE YHoMg3, optimized geometry
data_YHoMg3
_symmetry_space_group_name_H-M 'I m m a'
_symmetry_Int_Tables_number 74
_symmetry_space_group_name_Hall '-I 2b 2'
_cell_length_a 5.187
_cell_length_b 19.605
_cell_length_c 10.450
_cell_angle_alpha 90.00
_cell_angle_beta 90.00
_cell_angle_gamma 90.00
loop_
_atom_site_label
_atom_site_fract_x
_atom_site_fract_y
_atom_site_fract_z
Y1 0.000 0.250 0.123
Y2 0.000 0.250 0.624
Ho1 0.000 0.051 0.630
Mg1 0.000 0.055 0.107
Mg2 0.000 0.139 0.366
Mg3 0.000 0.151 0.874
# ΔE to the lowest computed polymorph in meV/atom: 0
# ΔE_f in eV per atom: -0.039

(3)
# PBE CuAgHgAu, optimized geometry
data_CuAgHgAu
_symmetry_space_group_name_H-M 'F -4 3 m'
_symmetry_Int_Tables_number 216
_symmetry_space_group_name_Hall 'F -4 2 3'
_cell_length_a 6.567
_cell_length_b 6.567
_cell_length_c 6.567
_cell_angle_alpha 90.00
_cell_angle_beta 90.00
_cell_angle_gamma 90.00
loop_
_atom_site_label
_atom_site_fract_x
_atom_site_fract_y
_atom_site_fract_z
Cu1 0.000 0.000 0.000
Ag1 0.000 0.000 0.500
Hg1 0.250 0.250 0.750
Au1 0.250 0.250 0.250
# ΔE_f in eV per atom: 0.096

(4)
# PBE LaCeEr2, optimized geometry
data_LaCeEr2
_symmetry_space_group_name_H-M 'R 3 m'
_symmetry_Int_Tables_number 160
_symmetry_space_group_name_Hall 'R 3 -2"'
_cell_length_a 3.5519
_cell_length_b 3.5519
_cell_length_c 34.7447
_cell_angle_alpha 90.00
_cell_angle_beta 90.00
_cell_angle_gamma 120.00
loop_
_atom_site_label
_atom_site_fract_x
_atom_site_fract_y
_atom_site_fract_z
La1 0.0000 0.0000 0.0000
Ce1 0.0000 0.0000 0.8343
Er1 0.0000 0.0000 0.2472
Er2 0.0000 0.0000 0.4211
# ΔE to the lowest computed polymorph in meV/atom: 0
# ΔE_f in eV per atom: 0.062

(5)
# PBE PuIrRu, optimized geometry
data_PuIrRu
_symmetry_space_group_name_H-M 'I m m a'
_symmetry_Int_Tables_number 74
_symmetry_space_group_name_Hall '-I 2b 2'
_cell_length_a 5.282
_cell_length_b 5.375
_cell_length_c 7.578
_cell_angle_alpha 90.00
_cell_angle_beta 90.00
_cell_angle_gamma 90.00
loop_
_atom_site_label
_atom_site_fract_x
_atom_site_fract_y
_atom_site_fract_z
Pu1 0.000 0.250 0.125
Ir1 0.000 0.000 0.500
Ru1 0.250 0.250 0.750
# ΔE to the lowest computed polymorph in meV/atom: 0
# ΔE_f in eV per atom: -0.369